An optimized crystal structure of Re2AgSe. Source: Alexandria, functional GGA-PBE.

Cell and atoms, written as POSCAR:
```
Re2AgSe
1.0
-2.4998 2.0926 3.0710
-3.7158 -1.3490 -2.1054
-0.0406 -2.5703 1.7184
Ag Re Se
1 2 1
Direct
0.0000 0.5000 0.5000
0.0000 0.0000 0.0000
0.5000 0.5000 0.0000
0.5000 0.0000 0.5000
```

Total energy (eV/atom): -6.7944
SG: P4/mmm (123)
Formation energy (no corrections) (meV per atom): 1014